No. 1
DFT (PBE) results for an optimized crystal structure of TiOsRuS.

Cell and atoms, written as POSCAR:
```
TiOsRuS
1.0
3.7637 0.0000 0.0000
0.0000 2.8849 0.0000
0.0000 0.0000 10.4206
Ti Os Ru S
2 2 2 2
Direct
0.0000 0.0000 0.0000
0.0000 0.5000 0.5000
0.5000 0.0000 0.6387
0.5000 0.5000 0.1387
0.0000 0.0000 0.2675
0.0000 0.5000 0.7675
0.5000 0.0000 0.4113
0.5000 0.5000 0.9113
```

Properties
formation energy (no corrections)	-268	meV per atom
DFT total energy	-8.40	eV/atom
offset from the most stable computed form	0.28	eV per formula unit
space group	No. 38

No. 2
DFT (PBE) results for an optimized crystal structure of Ba2LaTlPd.

Cell and atoms, written as POSCAR:
```
Ba2LaTlPd
1.0
6.2432 0.0000 0.0000
0.0000 6.2432 0.0000
0.0000 0.0000 5.5501
Ba La Tl Pd
2 1 1 1
Direct
0.0000 0.5000 0.0000
0.5000 0.0000 0.0000
0.0000 0.0000 0.5000
0.5000 0.5000 0.5000
0.0000 0.0000 0.0000
```

Properties
energy relative to the elements	-20.64	kJ/mol of atoms
DFT total energy	-3.48	eV/atom
space group	No. 123

No. 3
DFT (PBE) results for an optimized crystal structure of Ho5Tm4Mg2.

Cell and atoms, written as POSCAR:
```
Ho5Tm4Mg2
1.0
-1.6981 4.3700 11.3724
1.6981 -4.3700 11.3724
1.6981 4.3700 -11.3724
Ho Tm Mg
5 4 2
Direct
0.0000 0.0000 0.0000
0.0569 0.3592 0.6976
0.3384 0.6408 0.6976
0.6616 0.3592 0.3024
0.9431 0.6408 0.3024
0.2687 0.7687 0.5000
0.3195 0.5000 0.8195
0.6805 0.5000 0.1805
0.7313 0.2313 0.5000
0.4022 0.9022 0.5000
0.5978 0.0978 0.5000
```

Properties
energy relative to the elements	23.44	kJ/mol of atoms
DFT total energy	-3.75	eV/atom
offset from the most stable computed form	2.48	eV per formula unit
space group	No. 71

No. 4
DFT (PBE) results for an optimized crystal structure of LiGaH2.

Cell and atoms, written as POSCAR:
```
LiGaH2
1.0
2.7590 0.0000 0.0000
-1.3795 2.3894 0.0000
0.0000 0.0000 17.3141
Li Ga H
3 3 6
Direct
0.0000 0.0000 0.0000
0.3333 0.6667 0.6667
0.6667 0.3333 0.3333
0.0000 0.0000 0.5000
0.3333 0.6667 0.1667
0.6667 0.3333 0.8333
0.0000 0.0000 0.3966
0.0000 0.0000 0.6034
0.3333 0.6667 0.0632
0.3333 0.6667 0.2701
0.6667 0.3333 0.7299
0.6667 0.3333 0.9368
```

Properties
DFT total energy	-3.00	eV/atom
offset from the most stable computed form	0.00	eV per formula unit
space group	No. 166

No. 5
DFT (PBE) results for an optimized crystal structure of Sr2Cu3Ge4Rh.

Cell and atoms, written as POSCAR:
```
Sr2Cu3Ge4Rh
1.0
4.3201 0.0000 0.0000
0.0000 4.3201 0.0000
0.0000 0.0000 10.2474
Sr Cu Ge Rh
2 3 4 1
Direct
0.0000 0.5000 0.2503
0.5000 0.0000 0.7497
0.0000 0.0000 0.0000
0.0000 0.5000 0.6299
0.5000 0.0000 0.3701
0.0000 0.0000 0.5000
0.0000 0.5000 0.8779
0.5000 0.0000 0.1221
0.5000 0.5000 0.5000
0.5000 0.5000 0.0000
```

Properties
energy relative to the elements	-40.90	kJ/mol of atoms
DFT total energy	-4.57	eV/atom
space group	No. 115

No. 6
DFT (PBE) results for an optimized crystal structure of Ho8ErIn2.

Cell and atoms, written as POSCAR:
```
Ho8ErIn2
1.0
4.4039 -7.5549 0.0000
4.4039 7.5549 0.0000
-2.4026 0.0000 5.0459
Ho Er In
8 1 2
Direct
0.0948 0.3238 0.6239
0.2150 0.7850 0.0000
0.3238 0.0948 0.6239
0.4036 0.4036 0.2032
0.5964 0.5964 0.7968
0.6762 0.9052 0.3761
0.7850 0.2150 0.0000
0.9052 0.6762 0.3761
0.0000 0.0000 0.0000
0.3067 0.6933 0.5000
0.6933 0.3067 0.5000
```

Properties
energy relative to the elements	-3.15	kJ/mol of atoms
DFT total energy	-4.27	eV/atom
space group	No. 12

No. 7
DFT (PBE) results for an optimized crystal structure of LaRe2P.

Cell and atoms, written as POSCAR:
```
LaRe2P
1.0
3.8611 0.0000 0.0000
0.0000 3.8611 0.0000
0.0000 0.0000 10.4376
La Re P
2 4 2
Direct
0.0000 0.0000 0.0000
0.5000 0.5000 0.5000
0.0000 0.5000 0.2500
0.0000 0.5000 0.7500
0.5000 0.0000 0.2500
0.5000 0.0000 0.7500
0.0000 0.0000 0.5000
0.5000 0.5000 0.0000
```

Properties
energy relative to the elements	54.16	kJ/mol of atoms
DFT total energy	-8.25	eV/atom
space group	No. 139

No. 8
DFT (PBE) results for an optimized crystal structure of HPd6Se2.

Cell and atoms, written as POSCAR:
```
HPd6Se2
1.0
6.2548 -1.8958 0.0000
6.2548 1.8958 0.0000
-3.6725 0.0000 6.2472
H Pd Se
1 6 2
Direct
0.0000 0.0000 0.0000
0.0292 0.0292 0.7891
0.2862 0.2862 0.1606
0.3807 0.3807 0.8465
0.6193 0.6193 0.1535
0.7138 0.7138 0.8394
0.9708 0.9708 0.2109
0.1508 0.1508 0.5891
0.8492 0.8492 0.4109
```

Properties
DFT total energy	-4.67	eV/atom
offset from the most stable computed form	0.44	eV per formula unit
space group	No. 12

No. 9
DFT (PBE) results for an optimized crystal structure of ZrCuW.

Cell and atoms, written as POSCAR:
```
ZrCuW
1.0
2.7984 0.0000 0.0000
0.0000 2.7984 0.0000
0.0000 0.0000 12.7534
Zr Cu W
2 2 2
Direct
0.0000 0.0000 0.0000
0.5000 0.5000 0.5000
0.0000 0.0000 0.6685
0.5000 0.5000 0.1685
0.0000 0.0000 0.3139
0.5000 0.5000 0.8139
```

Properties
energy relative to the elements	19.24	kJ/mol of atoms
DFT total energy	-8.33	eV/atom
offset from the most stable computed form	0.00	eV per formula unit
space group	No. 107

No. 10
DFT (PBE) results for an optimized crystal structure of Cs2Nb2Co.

Cell and atoms, written as POSCAR:
```
Cs2Nb2Co
1.0
6.4417 0.0000 0.0000
0.0000 6.4417 0.0000
0.0000 0.0000 6.7097
Cs Nb Co
4 4 2
Direct
0.2079 0.2921 0.0000
0.2921 0.7921 0.0000
0.7079 0.2079 0.0000
0.7921 0.7079 0.0000
0.1417 0.6417 0.5000
0.3583 0.1417 0.5000
0.6417 0.8583 0.5000
0.8583 0.3583 0.5000
0.0000 0.0000 0.5000
0.5000 0.5000 0.5000
```

Properties
energy relative to the elements	109.91	kJ/mol of atoms
DFT total energy	-4.65	eV/atom
space group	No. 127

No. 11
DFT (PBE) results for an optimized crystal structure of AlCu2PdPb.

Cell and atoms, written as POSCAR:
```
AlCu2PdPb
1.0
4.8860 0.0000 0.0000
0.0000 4.8860 0.0000
0.0000 0.0000 5.2042
Al Cu Pd Pb
1 2 1 1
Direct
0.0000 0.0000 0.0000
0.0000 0.5000 0.5000
0.5000 0.0000 0.5000
0.5000 0.5000 0.0000
0.5000 0.5000 0.5000
```

Properties
energy relative to the elements	86.08	kJ/mol of atoms
DFT total energy	-3.28	eV/atom
space group	No. 123

No. 12
DFT (PBE) results for an optimized crystal structure of Tb2ZrSn.

Cell and atoms, written as POSCAR:
```
Tb2ZrSn
1.0
4.6839 0.0000 0.0000
0.0000 4.6839 0.0000
0.0000 0.0000 4.7048
Tb Zr Sn
2 1 1
Direct
0.0000 0.5000 0.0000
0.5000 0.0000 0.0000
0.0000 0.0000 0.5000
0.5000 0.5000 0.5000
```

Properties
energy relative to the elements	-32.33	kJ/mol of atoms
DFT total energy	-5.79	eV/atom
offset from the most stable computed form	0.00	eV per formula unit
space group	No. 123

One value per record, in order, for total moment: 0.000; 0.054; 0.080; 0.000; 0.000; 0.000; 0.000; 0.000; 0.000; 0.000; 0.000; 0.000 μB per atom.